[1]
# PBE-GGA Cs3Sm2USe6, relaxed
data_Cs3Sm2USe6
_chemical_formula_sum 'Cs6 Sm4 U2 Se12'
_symmetry_space_group_name_H-M 'C 1 2/m 1'
_symmetry_Int_Tables_number 12
_cell_length_a 7.525
_cell_length_b 13.032
_cell_length_c 8.772
_cell_angle_alpha 90.00
_cell_angle_beta 106.62
_cell_angle_gamma 90.00
loop_
_symmetry_equiv_pos_as_xyz
'x,y,z'
'-x,-y,-z'
'-x,y,-z'
'x,-y,z'
'x+1/2,y+1/2,z'
'-x+1/2,-y+1/2,-z'
'-x+1/2,y+1/2,-z'
'x+1/2,-y+1/2,z'
loop_
_atom_site_label
_atom_site_type_symbol
_atom_site_fract_x
_atom_site_fract_y
_atom_site_fract_z
Cs1 Cs 0.000 0.000 0.000
Cs2 Cs 0.000 0.332 0.000
Sm1 Sm 0.000 0.167 0.500
U1 U 0.000 0.500 0.500
Se1 Se 0.228 0.335 0.688
Se2 Se 0.232 0.000 0.689
# * formation energy without anion corrections: -1540 meV per atom

***

[2]
Compound: K2CaH3F
Source: the Alexandria database
Functional: PBE-GGA
Structure: relaxed

Structure (CIF):
```
data_K2CaH3F
_chemical_formula_sum 'K4 Ca2 H6 F2'
_symmetry_space_group_name_H-M 'I m m m'
_symmetry_Int_Tables_number 71
_symmetry_space_group_name_Hall '-I 2 2'
_cell_length_a 4.416
_cell_length_b 4.460
_cell_length_c 14.084
_cell_angle_alpha 90.00
_cell_angle_beta 90.00
_cell_angle_gamma 90.00
loop_
_atom_site_label
_atom_site_type_symbol
_atom_site_fract_x
_atom_site_fract_y
_atom_site_fract_z
K1 K 0.000 0.000 0.148
Ca1 Ca 0.000 0.000 0.500
H1 H 0.000 0.000 0.337
H2 H 0.000 0.500 0.000
F1 F 0.000 0.500 0.500
```

***

[3]
# PBE-GGA BaCoSeS2, relaxed
data_BaCoSeS2
_chemical_formula_sum 'Ba1 Co1 Se1 S2'
_symmetry_space_group_name_H-M 'P 4/m m m'
_symmetry_Int_Tables_number 123
_symmetry_space_group_name_Hall '-P 4 2'
_cell_length_a 5.803
_cell_length_b 5.803
_cell_length_c 6.157
_cell_angle_alpha 90.00
_cell_angle_beta 90.00
_cell_angle_gamma 90.00
loop_
_atom_site_label
_atom_site_type_symbol
_atom_site_fract_x
_atom_site_fract_y
_atom_site_fract_z
Ba1 Ba 0.000 0.000 0.000
Co1 Co 0.500 0.500 0.500
Se1 Se 0.000 0.000 0.500
S1 S 0.000 0.500 0.000
# * formation energy without anion corrections: 1011 meV per atom

***

[4]
# PBE-GGA NiIr5, relaxed
data_NiIr5
_chemical_formula_sum 'Ni2 Ir10'
_symmetry_space_group_name_H-M 'C 1 m 1'
_symmetry_Int_Tables_number 8
_cell_length_a 9.923
_cell_length_b 2.744
_cell_length_c 6.422
_cell_angle_alpha 90.00
_cell_angle_beta 104.73
_cell_angle_gamma 90.00
loop_
_symmetry_equiv_pos_as_xyz
'x,y,z'
'x,-y,z'
'x+1/2,y+1/2,z'
'x+1/2,-y+1/2,z'
loop_
_atom_site_label
_atom_site_type_symbol
_atom_site_fract_x
_atom_site_fract_y
_atom_site_fract_z
Ni1 Ni 0.000 0.000 0.000
Ir1 Ir 0.111 0.500 0.725
Ir2 Ir 0.165 0.500 0.327
Ir3 Ir 0.278 0.000 0.053
Ir4 Ir 0.334 0.000 0.667
Ir5 Ir 0.443 0.500 0.383
# * energy relative to the elements: 0.0591 eV per atom

***

[5]
# PBE-GGA MgTi, relaxed
data_MgTi
_chemical_formula_sum 'Mg1 Ti1'
_symmetry_space_group_name_H-M 'P m -3 m'
_symmetry_Int_Tables_number 221
_symmetry_space_group_name_Hall '-P 4 2 3'
_cell_length_a 3.354
_cell_length_b 3.354
_cell_length_c 3.354
_cell_angle_alpha 90.00
_cell_angle_beta 90.00
_cell_angle_gamma 90.00
loop_
_atom_site_label
_atom_site_type_symbol
_atom_site_fract_x
_atom_site_fract_y
_atom_site_fract_z
Mg1 Mg 0.000 0.000 0.000
Ti1 Ti 0.500 0.500 0.500
# * energy relative to the elements: 0.2587 eV per atom

***

[6]
# PBE-GGA Ca2TlCdCl8, relaxed
data_Ca2TlCdCl8
_chemical_formula_sum 'Ca2 Tl1 Cd1 Cl8'
_symmetry_space_group_name_H-M 'P 1 2/m 1'
_symmetry_Int_Tables_number 10
_cell_length_a 6.342
_cell_length_b 8.448
_cell_length_c 6.511
_cell_angle_alpha 90.00
_cell_angle_beta 90.35
_cell_angle_gamma 90.00
loop_
_symmetry_equiv_pos_as_xyz
'x,y,z'
'-x,-y,-z'
'-x,y,-z'
'x,-y,z'
loop_
_atom_site_label
_atom_site_type_symbol
_atom_site_fract_x
_atom_site_fract_y
_atom_site_fract_z
Ca1 Ca 0.000 0.242 0.000
Tl1 Tl 0.500 0.500 0.500
Cd1 Cd 0.500 0.000 0.500
Cl1 Cl 0.203 0.500 0.169
Cl2 Cl 0.223 0.000 0.180
Cl3 Cl 0.282 0.232 0.675
# * formation energy without anion corrections: -1613 meV per atom

***

[7]
Compound: H6PbN2F2
Source: the Alexandria database
Functional: PBE-GGA
Structure: relaxed

Structure (CIF):
```
data_H6PbN2F2
_chemical_formula_sum 'H6 Pb1 N2 F2'
_symmetry_space_group_name_H-M 'P -1'
_symmetry_Int_Tables_number 2
_cell_length_a 3.854
_cell_length_b 5.964
_cell_length_c 5.986
_cell_angle_alpha 80.72
_cell_angle_beta 76.74
_cell_angle_gamma 77.41
loop_
_symmetry_equiv_pos_as_xyz
'x,y,z'
'-x,-y,-z'
loop_
_atom_site_label
_atom_site_type_symbol
_atom_site_fract_x
_atom_site_fract_y
_atom_site_fract_z
H1 H 0.126 0.325 0.317
H2 H 0.258 0.737 0.523
H3 H 0.262 0.523 0.738
Pb1 Pb 0.000 0.000 0.000
N1 N 0.132 0.688 0.690
F1 F 0.496 0.795 0.204
```

***

[8]
# PBE-GGA AsPb2, relaxed
data_AsPb2
_chemical_formula_sum 'As1 Pb2'
_symmetry_space_group_name_H-M 'P -3 m 1'
_symmetry_Int_Tables_number 164
_symmetry_space_group_name_Hall '-P 3 2"'
_cell_length_a 5.3314
_cell_length_b 5.3314
_cell_length_c 3.3756
_cell_angle_alpha 90.00
_cell_angle_beta 90.00
_cell_angle_gamma 120.00
loop_
_atom_site_label
_atom_site_type_symbol
_atom_site_fract_x
_atom_site_fract_y
_atom_site_fract_z
As1 As 0.0000 0.0000 0.0000
Pb1 Pb 0.3333 0.6667 0.7548
# * energy relative to the elements: 0.1385 eV per atom

***

[9]
# PBE-GGA Ag2PdRuPb, relaxed
data_Ag2PdRuPb
_chemical_formula_sum 'Ag2 Pd1 Ru1 Pb1'
_symmetry_space_group_name_H-M 'P 4/m m m'
_symmetry_Int_Tables_number 123
_symmetry_space_group_name_Hall '-P 4 2'
_cell_length_a 5.024
_cell_length_b 5.024
_cell_length_c 5.059
_cell_angle_alpha 90.00
_cell_angle_beta 90.00
_cell_angle_gamma 90.00
loop_
_atom_site_label
_atom_site_type_symbol
_atom_site_fract_x
_atom_site_fract_y
_atom_site_fract_z
Ag1 Ag 0.000 0.500 0.000
Pd1 Pd 0.000 0.000 0.000
Ru1 Ru 0.500 0.500 0.500
Pb1 Pb 0.000 0.000 0.500
# * energy relative to the elements: 1.1572 eV per atom

***

[10]
# PBE-GGA Ba2SBr, relaxed
data_Ba2SBr
_chemical_formula_sum 'Ba6 S3 Br3'
_symmetry_space_group_name_H-M 'R 3 m'
_symmetry_Int_Tables_number 160
_symmetry_space_group_name_Hall 'R 3 -2"'
_cell_length_a 4.5176
_cell_length_b 4.5176
_cell_length_c 24.4910
_cell_angle_alpha 90.00
_cell_angle_beta 90.00
_cell_angle_gamma 120.00
loop_
_atom_site_label
_atom_site_type_symbol
_atom_site_fract_x
_atom_site_fract_y
_atom_site_fract_z
Ba1 Ba 0.0000 0.0000 0.0000
Ba2 Ba 0.0000 0.0000 0.1919
S1 S 0.0000 0.0000 0.5939
Br1 Br 0.0000 0.0000 0.7644
# * formation energy without anion corrections: -1833 meV per atom

***

[11]
Compound: Er5Tm3H12
Source: the Alexandria database
Functional: PBE-GGA
Structure: relaxed

Structure (CIF):
```
data_Er5Tm3H12
_chemical_formula_sum 'Er40 Tm24 H96'
_symmetry_space_group_name_H-M 'I a -3 d'
_symmetry_Int_Tables_number 230
_symmetry_space_group_name_Hall '-I 4bd 2c 3'
_cell_length_a 12.853
_cell_length_b 12.853
_cell_length_c 12.853
_cell_angle_alpha 90.00
_cell_angle_beta 90.00
_cell_angle_gamma 90.00
loop_
_atom_site_label
_atom_site_type_symbol
_atom_site_fract_x
_atom_site_fract_y
_atom_site_fract_z
Er1 Er 0.000 0.000 0.000
Er2 Er 0.000 0.250 0.375
Tm1 Tm 0.000 0.250 0.125
H1 H 0.001 0.066 0.657
```

***

[12]
# PBE-GGA LiPuBiSb, relaxed
data_LiPuBiSb
_chemical_formula_sum 'Li1 Pu1 Bi1 Sb1'
_symmetry_space_group_name_H-M 'P m m m'
_symmetry_Int_Tables_number 47
_cell_length_a 4.301
_cell_length_b 4.758
_cell_length_c 4.996
_cell_angle_alpha 90.00
_cell_angle_beta 90.00
_cell_angle_gamma 90.00
loop_
_symmetry_equiv_pos_as_xyz
'x,y,z'
'-x,-y,-z'
'-x,-y,z'
'x,y,-z'
'x,-y,-z'
'-x,y,z'
'-x,y,-z'
'x,-y,z'
loop_
_atom_site_label
_atom_site_type_symbol
_atom_site_fract_x
_atom_site_fract_y
_atom_site_fract_z
Li1 Li 0.000 0.000 0.000
Pu1 Pu 0.000 0.500 0.500
Bi1 Bi 0.500 0.500 0.000
Sb1 Sb 0.500 0.000 0.500
# * formation energy without anion corrections: -446 meV per atom

***

[13]
# PBE-GGA BSb2IBr, relaxed
data_BSb2IBr
_chemical_formula_sum 'B1 Sb2 I1 Br1'
_symmetry_space_group_name_H-M 'P 4/m m m'
_symmetry_Int_Tables_number 123
_symmetry_space_group_name_Hall '-P 4 2'
_cell_length_a 5.645
_cell_length_b 5.645
_cell_length_c 5.730
_cell_angle_alpha 90.00
_cell_angle_beta 90.00
_cell_angle_gamma 90.00
loop_
_atom_site_label
_atom_site_type_symbol
_atom_site_fract_x
_atom_site_fract_y
_atom_site_fract_z
B1 B 0.000 0.000 0.000
Sb1 Sb 0.000 0.500 0.500
I1 I 0.500 0.500 0.000
Br1 Br 0.500 0.500 0.500
# * formation energy without anion corrections: 1748 meV per atom

***

[14]
# PBE-GGA BaSc2BeV, relaxed
data_BaSc2BeV
_chemical_formula_sum 'Ba1 Sc2 Be1 V1'
_symmetry_space_group_name_H-M 'P 4/m m m'
_symmetry_Int_Tables_number 123
_symmetry_space_group_name_Hall '-P 4 2'
_cell_length_a 4.997
_cell_length_b 4.997
_cell_length_c 5.507
_cell_angle_alpha 90.00
_cell_angle_beta 90.00
_cell_angle_gamma 90.00
loop_
_atom_site_label
_atom_site_type_symbol
_atom_site_fract_x
_atom_site_fract_y
_atom_site_fract_z
Ba1 Ba 0.000 0.000 0.000
Sc1 Sc 0.000 0.500 0.500
Be1 Be 0.000 0.000 0.500
V1 V 0.500 0.500 0.000
# * energy relative to the elements: 1.1062 eV per atom

***

[15]
# PBE-GGA Y4Pb2N, relaxed
data_Y4Pb2N
_chemical_formula_sum 'Y8 Pb4 N2'
_symmetry_space_group_name_H-M 'I 4/m m m'
_symmetry_Int_Tables_number 139
_symmetry_space_group_name_Hall '-I 4 2'
_cell_length_a 4.755
_cell_length_b 4.755
_cell_length_c 16.113
_cell_angle_alpha 90.00
_cell_angle_beta 90.00
_cell_angle_gamma 90.00
loop_
_atom_site_label
_atom_site_type_symbol
_atom_site_fract_x
_atom_site_fract_y
_atom_site_fract_z
Y1 Y 0.000 0.000 0.157
Y2 Y 0.000 0.500 0.000
Pb1 Pb 0.000 0.000 0.356
N1 N 0.000 0.000 0.000
# * formation energy without anion corrections: -875 meV per atom

***

[16]
# PBE-GGA ReOsRu3, relaxed
data_ReOsRu3
_chemical_formula_sum 'Re1 Os1 Ru3'
_symmetry_space_group_name_H-M 'P m -3 m'
_symmetry_Int_Tables_number 221
_symmetry_space_group_name_Hall '-P 4 2 3'
_cell_length_a 4.597
_cell_length_b 4.597
_cell_length_c 4.597
_cell_angle_alpha 90.00
_cell_angle_beta 90.00
_cell_angle_gamma 90.00
loop_
_atom_site_label
_atom_site_type_symbol
_atom_site_fract_x
_atom_site_fract_y
_atom_site_fract_z
Re1 Re 0.000 0.000 0.000
Os1 Os 0.500 0.500 0.500
Ru1 Ru 0.000 0.000 0.500
# * energy relative to the elements: 2.2090 eV per atom

***

[17]
# PBE-GGA AcNd2Ho, relaxed
data_AcNd2Ho
_chemical_formula_sum 'Ac3 Nd6 Ho3'
_symmetry_space_group_name_H-M 'R 3 m'
_symmetry_Int_Tables_number 160
_symmetry_space_group_name_Hall 'R 3 -2"'
_cell_length_a 3.7364
_cell_length_b 3.7364
_cell_length_c 36.2633
_cell_angle_alpha 90.00
_cell_angle_beta 90.00
_cell_angle_gamma 120.00
loop_
_atom_site_label
_atom_site_type_symbol
_atom_site_fract_x
_atom_site_fract_y
_atom_site_fract_z
Ac1 Ac 0.0000 0.0000 0.0000
Nd1 Nd 0.0000 0.0000 0.2457
Nd2 Nd 0.0000 0.0000 0.4207
Ho1 Ho 0.0000 0.0000 0.8334
# * energy relative to the elements: 0.0465 eV per atom

***

| no. | total DFT energy (no corrections) (eV per atom) |
| --- | --- |
| 1 | -5.223 |
| 2 | -3.376 |
| 3 | -3.142 |
| 4 | -8.289 |
| 5 | -4.486 |
| 6 | -3.451 |
| 7 | -4.934 |
| 8 | -3.884 |
| 9 | -3.619 |
| 10 | -4.244 |
| 11 | -4.290 |
| 12 | -6.509 |
| 13 | -1.881 |
| 14 | -4.380 |
| 15 | -6.817 |
| 16 | -8.092 |
| 17 | -4.509 |